(1)
Material: YRhBr
Method: DFT, GGA-PBE
State: optimized geometry

Summary:
- Formation energy from raw total energies: -1.94 eV per formula unit
- DOS at the Fermi energy: 0.79 states/eV/f.u.

Lattice parameters (Å, degrees): 3.622 3.622 6.569 90.00 90.00 120.00
Fractional coordinates of all 3 atoms:
Y 0.333 0.667 0.651
Rh 0.667 0.333 0.382
Br 0.000 0.000 0.967

***

(2)
Material: Ti3TlSi
Method: DFT, GGA-PBE
State: optimized geometry

Summary:
- Formation energy from raw total energies: 0.57 eV per formula unit
- Relative energy among the computed polymorphs: 0.00 kJ/mol of atoms
- DOS at the Fermi energy: 7.97 states/eV/f.u.

Lattice parameters (Å, degrees): 4.654 4.654 4.654 90.00 90.00 90.00
Fractional coordinates of all 5 atoms:
Tl 0.500 0.500 0.500
Si 0.000 0.000 0.000
Ti 0.000 0.500 0.000
Ti 0.000 0.000 0.500
Ti 0.500 0.000 0.000

***

(3)
Material: Sc2HW
Method: DFT, GGA-PBE
State: optimized geometry

Summary:
- Relative energy among the computed polymorphs: 0.00 kJ/mol of atoms
- DOS at the Fermi energy: 4.43 states/eV/f.u.

Lattice parameters (Å, degrees): 6.128 6.128 5.516 56.26 56.26 90.00
Site moments in Bohr magnetons follow the coordinates.
Fractional coordinates of all 8 atoms:
Sc 0.518 0.125 0.250  0.04
Sc 0.232 0.625 0.250  0.04
Sc 0.375 0.482 0.750  0.04
Sc 0.875 0.768 0.750  0.04
H 0.500 0.500 0.000  0.00
H 0.250 0.750 0.500  0.00
W 0.000 0.000 0.000  0.28
W 0.750 0.250 0.500  0.27

***

(4)
Material: CaCdPb6
Method: DFT, GGA-PBE
State: optimized geometry

Summary:
- Energy of formation from the pure elements: -110 meV/atom
- DOS at the Fermi energy: 4.25 states/eV/f.u.

Lattice parameters (Å, degrees): 5.180 6.829 6.829 85.83 90.00 90.00
Fractional coordinates of all 8 atoms:
Ca 0.500 0.000 0.000
Cd 0.500 0.500 0.500
Pb 0.000 0.729 0.271
Pb 0.000 0.271 0.729
Pb 0.000 0.757 0.757
Pb 0.000 0.243 0.243
Pb 0.500 0.500 0.000
Pb 0.500 0.000 0.500

***

(5)
Material: Li2Cu8Si
Method: DFT, GGA-PBE
State: optimized geometry

Summary:
- Formation energy from raw total energies: 0.85 eV per formula unit
- Relative energy among the computed polymorphs: 12.69 kJ/mol of atoms
- DOS at the Fermi energy: 2.53 states/eV/f.u.

Lattice parameters (Å, degrees): 4.259 6.501 6.521 60.10 76.58 62.24
Fractional coordinates of all 11 atoms:
Li 0.000 0.308 0.385
Li 0.000 0.692 0.615
Cu 0.869 0.099 0.225
Cu 0.869 0.325 0.775
Cu 0.315 0.397 0.000
Cu 0.500 0.793 0.415
Cu 0.500 0.207 0.585
Cu 0.685 0.603 0.000
Cu 0.131 0.675 0.225
Cu 0.131 0.901 0.775
Si 0.500 0.000 0.000

***

(6)
Material: SmSn4Ir4
Method: DFT, GGA-PBE
State: optimized geometry

Summary:
- Energy of formation from the pure elements: -193 meV/atom
- DOS at the Fermi energy: 4.99 states/eV/f.u.

Lattice parameters (Å, degrees): 5.379 8.786 8.786 90.00 90.00 90.00
Fractional coordinates of all 18 atoms:
Sm 0.000 0.000 0.000
Sm 0.500 0.500 0.500
Sn 0.399 0.352 0.886
Sn 0.899 0.614 0.852
Sn 0.399 0.648 0.114
Sn 0.101 0.148 0.614
Sn 0.601 0.886 0.648
Sn 0.101 0.852 0.386
Sn 0.899 0.386 0.148
Sn 0.601 0.114 0.352
Ir 0.593 0.802 0.352
Ir 0.593 0.198 0.648
Ir 0.093 0.852 0.698
Ir 0.907 0.302 0.852
Ir 0.907 0.698 0.148
Ir 0.407 0.352 0.198
Ir 0.407 0.648 0.802
Ir 0.093 0.148 0.302

***

(7)
Material: AlW4
Method: DFT, GGA-PBE
State: optimized geometry

Summary:
- Energy of formation from the pure elements: 1586 meV/atom
- Relative energy among the computed polymorphs: 0.00 kJ/mol of atoms
- DOS at the Fermi energy: 4.42 states/eV/f.u.

Lattice parameters (Å, degrees): 4.943 4.943 4.943 109.47 109.47 109.47
Fractional coordinates of all 5 atoms:
Al 0.000 0.000 0.000
W 0.500 0.000 0.000
W 0.500 0.500 0.500
W 0.000 0.500 0.000
W 0.000 0.000 0.500

***

(8)
Material: LiYGeO4
Method: DFT, GGA-PBE
State: optimized geometry

Summary:
- Formation energy from raw total energies: -17.50 eV per formula unit
- Relative energy among the computed polymorphs: 0.00 kJ/mol of atoms
- DOS at the Fermi energy: 0.00 states/eV/f.u.

Lattice parameters (Å, degrees): 5.122 6.394 11.251 90.00 90.00 90.00
Fractional coordinates of all 28 atoms:
Li 0.500 0.500 0.500
Li 0.000 0.500 0.000
Li 0.500 0.000 0.500
Li 0.000 0.000 0.000
Y 0.012 0.750 0.726
Y 0.988 0.250 0.274
Y 0.512 0.250 0.774
Y 0.488 0.750 0.226
Ge 0.571 0.750 0.916
Ge 0.429 0.250 0.084
Ge 0.071 0.250 0.584
Ge 0.929 0.750 0.416
O 0.726 0.538 0.836
O 0.274 0.462 0.164
O 0.226 0.462 0.664
O 0.274 0.038 0.164
O 0.774 0.538 0.336
O 0.726 0.962 0.836
O 0.774 0.962 0.336
O 0.226 0.038 0.664
O 0.779 0.750 0.556
O 0.221 0.250 0.444
O 0.279 0.250 0.944
O 0.721 0.750 0.056
O 0.231 0.750 0.907
O 0.769 0.250 0.093
O 0.731 0.250 0.593
O 0.269 0.750 0.407

***

(9)
Material: Y2ScAuN
Method: DFT, GGA-PBE
State: optimized geometry

Summary:
- Formation energy from raw total energies: -5.34 eV per formula unit
- DOS at the Fermi energy: 1.87 states/eV/f.u.

Lattice parameters (Å, degrees): 4.863 4.863 4.272 90.00 90.00 90.00
Fractional coordinates of all 5 atoms:
Y 0.000 0.500 0.000
Y 0.500 0.000 0.000
Sc 0.000 0.000 0.500
Au 0.500 0.500 0.500
N 0.000 0.000 0.000

***

(10)
Material: ZrTeMo
Method: DFT, GGA-PBE
State: optimized geometry

Summary:
- Formation energy from raw total energies: 1.70 eV per formula unit
- Relative energy among the computed polymorphs: 91.73 kJ/mol of atoms
- DOS at the Fermi energy: 2.82 states/eV/f.u.

Lattice parameters (Å, degrees): 4.666 4.666 4.666 60.00 60.00 60.00
Fractional coordinates of all 3 atoms:
Mo 0.000 0.000 0.000
Te 0.500 0.500 0.500
Zr 0.750 0.750 0.750

***

(11)
Material: La2Al9Fe3
Method: DFT, GGA-PBE
State: optimized geometry

Summary:
- Energy of formation from the pure elements: -352 meV/atom
- DOS at the Fermi energy: 14.32 states/eV/f.u.

Lattice parameters (Å, degrees): 7.591 7.591 10.654 89.88 110.47 120.80
Site moments in Bohr magnetons follow the coordinates.
Fractional coordinates of all 28 atoms:
La 0.339 0.248 0.752  -0.02
La 0.661 0.752 0.248  -0.02
La 0.996 0.588 0.748  -0.02
La 0.004 0.412 0.252  -0.02
Al 0.461 0.919 0.747  -0.01
Al 0.539 0.081 0.253  -0.01
Al 0.672 0.714 0.753  -0.01
Al 0.328 0.286 0.247  -0.01
Al 0.458 0.648 0.931  -0.01
Al 0.542 0.352 0.069  -0.01
Al 0.216 0.526 0.569  -0.01
Al 0.784 0.474 0.431  -0.01
Al 0.883 0.133 0.750  -0.01
Al 0.117 0.867 0.250  -0.01
Al 0.137 0.988 0.960  -0.01
Al 0.863 0.012 0.040  -0.01
Al 0.528 0.177 0.540  -0.01
Al 0.472 0.823 0.460  -0.01
Al 0.871 0.859 0.564  -0.01
Al 0.129 0.141 0.436  -0.01
Al 0.795 0.307 0.936  -0.01
Al 0.205 0.693 0.064  -0.01
Fe 0.500 0.000 0.000  1.26
Fe 0.500 0.500 0.500  1.26
Fe 0.840 0.171 0.498  0.85
Fe 0.160 0.829 0.502  0.85
Fe 0.173 0.341 0.002  0.85
Fe 0.827 0.659 0.998  0.85

***

(12)
Material: CdIn9Bi2
Method: DFT, GGA-PBE
State: optimized geometry

Summary:
- Energy of formation from the pure elements: 23 meV/atom
- DOS at the Fermi energy: 3.01 states/eV/f.u.

Lattice parameters (Å, degrees): 4.722 4.722 15.129 90.00 90.00 90.00
Fractional coordinates of all 12 atoms:
Cd 0.000 0.000 0.000
In 0.500 0.500 0.000
In 0.500 0.500 0.337
In 0.500 0.500 0.663
In 0.500 0.000 0.160
In 0.500 0.000 0.500
In 0.500 0.000 0.840
In 0.000 0.500 0.160
In 0.000 0.500 0.500
In 0.000 0.500 0.840
Bi 0.000 0.000 0.326
Bi 0.000 0.000 0.674